Entry from Alexandria: an optimized crystal structure of Rb3ReSb (GGA-PBEsol).

Calculated values
The space group is No. 221. The calculation puts the uncorrected formation energy at 1.4371 eV/atom. The total DFT energy (no corrections) is -2.756 eV/atom. The value obtained for the density of states at the Fermi level is 7.2 states/eV/cell. The total magnetic moment is 5.00 μB per formula unit.

a = 6.8874 Å, b = 6.8874 Å, c = 6.8874 Å
α = 90.00°, β = 90.00°, γ = 90.00°
Fractional coordinates of all 5 atoms:
1 Rb 0.0000 0.0000 0.5000
2 Rb 0.0000 0.5000 0.0000
3 Rb 0.5000 0.0000 0.0000
4 Re 0.5000 0.5000 0.5000
5 Sb 0.0000 0.0000 0.0000